Record 1
# AlZnPd2 | the Open Quantum Materials Database | PBE-GGA | relaxed
data_AlZnPd2
_chemical_formula_sum 'Al1 Zn1 Pd2'
_space_group_name_H-M_alt 'P 1'
_space_group_IT_number 1
_cell_length_a 4.383
_cell_length_b 4.383
_cell_length_c 4.383
_cell_angle_alpha 60.00
_cell_angle_beta 60.00
_cell_angle_gamma 60.00
loop_
_space_group_symop_operation_xyz
'x,y,z'
loop_
_atom_site_label
_atom_site_type_symbol
_atom_site_fract_x
_atom_site_fract_y
_atom_site_fract_z
_atom_site_occupancy
Al1 Al 0.000 0.000 0.000 1
Zn1 Zn 0.250 0.250 0.250 1
Pd1 Pd 0.500 0.500 0.500 1
Pd2 Pd 0.750 0.750 0.750 1
# - symmetry = F-43m, No. 216
# - total DFT energy (no corrections) (eV/atom) = -4.32



Record 2
# AlZnPd2 | the Open Quantum Materials Database | PBE-GGA | relaxed
data_AlZnPd2
_chemical_formula_sum 'Al2 Zn2 Pd4'
_space_group_name_H-M_alt 'P 1'
_space_group_IT_number 1
_cell_length_a 2.984
_cell_length_b 2.984
_cell_length_c 15.691
_cell_angle_alpha 90.00
_cell_angle_beta 90.00
_cell_angle_gamma 120.00
loop_
_space_group_symop_operation_xyz
'x,y,z'
loop_
_atom_site_label
_atom_site_type_symbol
_atom_site_fract_x
_atom_site_fract_y
_atom_site_fract_z
_atom_site_occupancy
Al1 Al 0.333 0.667 0.250 1
Al2 Al 0.667 0.333 0.750 1
Zn1 Zn 0.000 0.000 0.000 1
Zn2 Zn 0.000 0.000 0.500 1
Pd1 Pd 0.333 0.667 0.629 1
Pd2 Pd 0.333 0.667 0.871 1
Pd3 Pd 0.667 0.333 0.129 1
Pd4 Pd 0.667 0.333 0.371 1
# - symmetry = P6_3/mmc, No. 194
# - total DFT energy (no corrections) (eV/atom) = -4.46



Record 3
# Al2Zn2Pd | the Open Quantum Materials Database | PBE-GGA | relaxed
data_Al2Zn2Pd
_chemical_formula_sum 'Al2 Zn2 Pd1'
_space_group_name_H-M_alt 'P 1'
_space_group_IT_number 1
_cell_length_a 6.958
_cell_length_b 6.958
_cell_length_c 6.958
_cell_angle_alpha 150.94
_cell_angle_beta 150.94
_cell_angle_gamma 41.57
loop_
_space_group_symop_operation_xyz
'x,y,z'
loop_
_atom_site_label
_atom_site_type_symbol
_atom_site_fract_x
_atom_site_fract_y
_atom_site_fract_z
_atom_site_occupancy
Al1 Al 0.098 0.098 0.000 1
Al2 Al 0.902 0.902 0.000 1
Zn1 Zn 0.250 0.750 0.500 1
Zn2 Zn 0.750 0.250 0.500 1
Pd1 Pd 0.500 0.500 0.000 1
# - symmetry = I4/mmm, No. 139
# - energy relative to the lowest polymorph listed for this composition (eV/f.u.) = 0.00



Record 4
# Al2ZnPd | the Open Quantum Materials Database | PBE-GGA | relaxed
data_Al2ZnPd
_chemical_formula_sum 'Al2 Zn1 Pd1'
_space_group_name_H-M_alt 'P 1'
_space_group_IT_number 1
_cell_length_a 4.429
_cell_length_b 4.429
_cell_length_c 4.429
_cell_angle_alpha 60.00
_cell_angle_beta 60.00
_cell_angle_gamma 60.00
loop_
_space_group_symop_operation_xyz
'x,y,z'
loop_
_atom_site_label
_atom_site_type_symbol
_atom_site_fract_x
_atom_site_fract_y
_atom_site_fract_z
_atom_site_occupancy
Al1 Al 0.000 0.000 0.000 1
Al2 Al 0.250 0.250 0.250 1
Zn1 Zn 0.750 0.750 0.750 1
Pd1 Pd 0.500 0.500 0.500 1
# - symmetry = F-43m, No. 216
# - total DFT energy (no corrections) (eV/atom) = -3.70



Record 5
# Al2ZnPd5 | the Open Quantum Materials Database | PBE-GGA | relaxed
data_Al2ZnPd5
_chemical_formula_sum 'Al2 Zn1 Pd5'
_space_group_name_H-M_alt 'P 1'
_space_group_IT_number 1
_cell_length_a 7.576
_cell_length_b 7.576
_cell_length_c 7.576
_cell_angle_alpha 148.49
_cell_angle_beta 148.49
_cell_angle_gamma 45.16
loop_
_space_group_symop_operation_xyz
'x,y,z'
loop_
_atom_site_label
_atom_site_type_symbol
_atom_site_fract_x
_atom_site_fract_y
_atom_site_fract_z
_atom_site_occupancy
Al1 Al 0.248 0.248 0.000 1
Al2 Al 0.752 0.752 0.000 1
Zn1 Zn 0.500 0.500 0.000 1
Pd1 Pd 0.000 0.000 0.000 1
Pd2 Pd 0.137 0.637 0.500 1
Pd3 Pd 0.363 0.863 0.500 1
Pd4 Pd 0.637 0.137 0.500 1
Pd5 Pd 0.863 0.363 0.500 1
# - symmetry = I4/mmm, No. 139
# - total DFT energy (no corrections) (eV/atom) = -5.03



Record 6
# Al2Zn2Pd | the Open Quantum Materials Database | PBE-GGA | relaxed
data_Al2Zn2Pd
_chemical_formula_sum 'Al2 Zn2 Pd1'
_space_group_name_H-M_alt 'P 1'
_space_group_IT_number 1
_cell_length_a 6.527
_cell_length_b 6.527
_cell_length_c 6.527
_cell_angle_alpha 147.04
_cell_angle_beta 147.04
_cell_angle_gamma 47.30
loop_
_space_group_symop_operation_xyz
'x,y,z'
loop_
_atom_site_label
_atom_site_type_symbol
_atom_site_fract_x
_atom_site_fract_y
_atom_site_fract_z
_atom_site_occupancy
Al1 Al 0.250 0.750 0.500 1
Al2 Al 0.750 0.250 0.500 1
Zn1 Zn 0.098 0.098 0.000 1
Zn2 Zn 0.902 0.902 0.000 1
Pd1 Pd 0.500 0.500 0.000 1
# - symmetry = I4/mmm, No. 139
# - energy relative to the lowest polymorph listed for this composition (eV/f.u.) = 0.61



Record 7
# Zr2AlZnPd4 | the Open Quantum Materials Database | PBE-GGA | relaxed
data_Zr2AlZnPd4
_chemical_formula_sum 'Zr2 Al1 Zn1 Pd4'
_space_group_name_H-M_alt 'P 1'
_space_group_IT_number 1
_cell_length_a 4.325
_cell_length_b 4.325
_cell_length_c 8.622
_cell_angle_alpha 90.00
_cell_angle_beta 90.00
_cell_angle_gamma 120.00
loop_
_space_group_symop_operation_xyz
'x,y,z'
loop_
_atom_site_label
_atom_site_type_symbol
_atom_site_fract_x
_atom_site_fract_y
_atom_site_fract_z
_atom_site_occupancy
Zr1 Zr 0.333 0.667 0.252 1
Zr2 Zr 0.667 0.333 0.748 1
Al1 Al 0.000 0.000 0.000 1
Zn1 Zn 0.000 0.000 0.500 1
Pd1 Pd 0.333 0.667 0.588 1
Pd2 Pd 0.333 0.667 0.914 1
Pd3 Pd 0.667 0.333 0.086 1
Pd4 Pd 0.667 0.333 0.412 1
# - symmetry = P-3m1, No. 164
# - total DFT energy (no corrections) (eV/atom) = -6.08



Record 8
# ZrAl2Pd2 | the Open Quantum Materials Database | PBE-GGA | relaxed
data_ZrAl2Pd2
_chemical_formula_sum 'Zr1 Al2 Pd2'
_space_group_name_H-M_alt 'P 1'
_space_group_IT_number 1
_cell_length_a 6.090
_cell_length_b 6.090
_cell_length_c 6.090
_cell_angle_alpha 141.90
_cell_angle_beta 141.90
_cell_angle_gamma 54.98
loop_
_space_group_symop_operation_xyz
'x,y,z'
loop_
_atom_site_label
_atom_site_type_symbol
_atom_site_fract_x
_atom_site_fract_y
_atom_site_fract_z
_atom_site_occupancy
Zr1 Zr 0.000 0.000 0.000 1
Al1 Al 0.386 0.386 0.000 1
Al2 Al 0.614 0.614 0.000 1
Pd1 Pd 0.250 0.750 0.500 1
Pd2 Pd 0.750 0.250 0.500 1
# - symmetry = I4/mmm, No. 139
# - energy relative to the lowest polymorph listed for this composition (eV/f.u.) = 0.00



Record 9
# ZrAlPd2 | the Open Quantum Materials Database | PBE-GGA | relaxed
data_ZrAlPd2
_chemical_formula_sum 'Zr1 Al1 Pd2'
_space_group_name_H-M_alt 'P 1'
_space_group_IT_number 1
_cell_length_a 4.714
_cell_length_b 4.714
_cell_length_c 3.019
_cell_angle_alpha 90.00
_cell_angle_beta 90.00
_cell_angle_gamma 90.00
loop_
_space_group_symop_operation_xyz
'x,y,z'
loop_
_atom_site_label
_atom_site_type_symbol
_atom_site_fract_x
_atom_site_fract_y
_atom_site_fract_z
_atom_site_occupancy
Zr1 Zr 0.000 0.000 0.000 1
Al1 Al 0.500 0.500 0.000 1
Pd1 Pd 0.000 0.500 0.500 1
Pd2 Pd 0.500 0.000 0.500 1
# - symmetry = P4/mmm, No. 123
# - total DFT energy (no corrections) (eV/atom) = -6.32



Record 10
# ZrAlPd2 | the Open Quantum Materials Database | PBE-GGA | relaxed
data_ZrAlPd2
_chemical_formula_sum 'Zr1 Al1 Pd2'
_space_group_name_H-M_alt 'P 1'
_space_group_IT_number 1
_cell_length_a 3.000
_cell_length_b 3.000
_cell_length_c 7.240
_cell_angle_alpha 90.00
_cell_angle_beta 90.00
_cell_angle_gamma 90.00
loop_
_space_group_symop_operation_xyz
'x,y,z'
loop_
_atom_site_label
_atom_site_type_symbol
_atom_site_fract_x
_atom_site_fract_y
_atom_site_fract_z
_atom_site_occupancy
Zr1 Zr 0.000 0.000 0.000 1
Al1 Al 0.000 0.000 0.500 1
Pd1 Pd 0.500 0.500 0.288 1
Pd2 Pd 0.500 0.500 0.712 1
# - symmetry = P4/mmm, No. 123
# - total DFT energy (no corrections) (eV/atom) = -6.44



Record 11
# ZrAlPd | the Open Quantum Materials Database | PBE-GGA | relaxed
data_ZrAlPd
_chemical_formula_sum 'Zr1 Al1 Pd1'
_space_group_name_H-M_alt 'P 1'
_space_group_IT_number 1
_cell_length_a 4.493
_cell_length_b 4.493
_cell_length_c 4.493
_cell_angle_alpha 60.00
_cell_angle_beta 60.00
_cell_angle_gamma 60.00
loop_
_space_group_symop_operation_xyz
'x,y,z'
loop_
_atom_site_label
_atom_site_type_symbol
_atom_site_fract_x
_atom_site_fract_y
_atom_site_fract_z
_atom_site_occupancy
Zr1 Zr 0.000 0.000 0.000 1
Al1 Al 0.750 0.750 0.750 1
Pd1 Pd 0.250 0.250 0.250 1
# - symmetry = F-43m, No. 216
# - total DFT energy (no corrections) (eV/atom) = -5.78



Record 12
# ZrAlPd2 | the Open Quantum Materials Database | PBE-GGA | relaxed
data_ZrAlPd2
_chemical_formula_sum 'Zr1 Al1 Pd2'
_space_group_name_H-M_alt 'P 1'
_space_group_IT_number 1
_cell_length_a 4.564
_cell_length_b 4.564
_cell_length_c 4.564
_cell_angle_alpha 60.00
_cell_angle_beta 60.00
_cell_angle_gamma 60.00
loop_
_space_group_symop_operation_xyz
'x,y,z'
loop_
_atom_site_label
_atom_site_type_symbol
_atom_site_fract_x
_atom_site_fract_y
_atom_site_fract_z
_atom_site_occupancy
Zr1 Zr 0.000 0.000 0.000 1
Al1 Al 0.500 0.500 0.500 1
Pd1 Pd 0.250 0.250 0.250 1
Pd2 Pd 0.750 0.750 0.750 1
# - symmetry = Fm-3m, No. 225
# - total DFT energy (no corrections) (eV/atom) = -6.46